The following is a PBE-GGA calculation of an optimized crystal structure of ZnIn, from the Alexandria database.

Lattice parameters (Å, degrees): 5.604 5.697 10.773 90.00 90.00 90.00
Space group P2_12_12_1 (No. 19)
Symmetry-distinct sites (fractional):
Zn  0.144  0.123  0.010
Zn  0.160  0.613  0.678
In  0.136  0.624  0.946
In  0.161  0.867  0.250

## Properties
**E**: -1.93 eV/atom
**Spin magnetization**: 0.00 μB per formula unit
**Formation enthalpy at 0 K**: 0.15 eV/f.u.